Compound: SrThV2O8
Source: Alexandria via LeMat-Bulk
Functional: PBE with a Hubbard U
Structure: optimized geometry

Cell lengths 5.831, 5.831, 7.315 Å; angles 90.00, 90.00, 120.00 degrees
Sites, in units of the cell vectors:
1 V 0.333 0.667 0.791
2 O 0.833 0.166 0.285
3 Th 0.000 0.000 0.500
4 O 0.333 0.667 0.018
5 O 0.166 0.334 0.715
6 O 0.167 0.834 0.715
7 O 0.666 0.833 0.715
8 O 0.334 0.167 0.285
9 O 0.667 0.333 0.982
10 Sr 0.000 0.000 0.000
11 O 0.834 0.666 0.285
12 V 0.667 0.333 0.209

Computed properties:
calculated volume = 17.9 Å³/atom
N(E_F) = 0.00 states/eV/cell
space-group type = No. 164
raw total energy = -95.032 eV per cell
M_tot = 0.00 μB/cell